[1]
Entry from Alexandria: a relaxed structure of NaSnI2 (PBE-GGA).

extended XYZ file:
```
8
Lattice="5.0396 0.0000 0.0000 -0.8024 7.7087 0.0000 -1.6617 -1.8921 8.7923" Properties=species:S:1:pos:R:3 pbc="T T T"
Na 0.0000 0.0000 0.0000
Na 0.5610 2.3504 5.1700
Sn -0.4497 5.9530 4.5925
Sn 2.9134 -0.3286 3.7474
I 0.5631 -0.1968 7.1122
I 1.7943 5.9744 1.2262
I 3.0250 3.7557 6.3473
I 4.2114 2.0429 2.3890
```

Uncorrected formation energy: -682 meV/atom
Distance to the lowest polymorph of the same formula: 0.014 eV/atom
Space-group type: P1 (1)

[2]
Entry from Alexandria: a relaxed structure of K2FePt (PBE-GGA).

extended XYZ file:
```
4
Lattice="-2.0504 2.0836 5.3397 2.0504 -2.0836 5.3397 2.0504 2.0836 -5.3397" Properties=species:S:1:pos:R:3 pbc="T T T"
K 0.0000 0.0000 2.6202
K 0.0000 0.0000 8.0592
Fe 0.0000 2.0836 0.0000
Pt 2.0504 0.0000 0.0000
```

Distance to the lowest polymorph of the same formula: 0.477 eV/atom
Formation energy from the elements: 0.685 eV per atom
Space-group type: Immm (71)

[3]
Entry from Alexandria: a relaxed structure of Ba4RhI2Br (PBE-GGA).

extended XYZ file:
```
8
Lattice="8.5698 0.0000 0.0000 0.0000 4.6036 0.0000 -2.2899 0.0000 8.5818" Properties=species:S:1:pos:R:3 pbc="T T T"
Ba 1.3525 0.0000 1.7292
Ba 0.0979 2.3018 6.7814
Ba 6.1820 2.3018 1.8004
Ba 4.9274 0.0000 6.8525
Rh 0.0000 2.3018 0.0000
I -1.1450 0.0000 4.2909
I 3.1400 2.3018 4.2909
Br 4.2849 0.0000 0.0000
```

Uncorrected formation energy: -1166 meV/atom
Space-group type: P2/m (10)

[4]
Entry from Alexandria: a relaxed structure of Ho8Sb3Te4As (PBE-GGA).

extended XYZ file:
```
16
Lattice="4.3192 2.4937 7.0953 -4.3192 2.4937 7.0953 0.0000 -4.9874 7.0953" Properties=species:S:1:pos:R:3 pbc="T T T"
Ho 0.0000 0.0000 5.2423
Ho -2.0717 -1.1961 12.2726
Ho 0.0000 -2.3922 9.0133
Ho -2.0717 1.1961 9.0133
Ho 2.0717 -1.1961 12.2726
Ho 0.0000 2.3922 12.2726
Ho 2.0717 1.1961 9.0133
Ho 0.0000 0.0000 16.0436
Sb -4.3192 0.0000 10.6429
Sb -2.1596 1.2469 3.5476
Sb 2.1596 1.2469 3.5476
Te 0.0000 0.0000 0.0000
Te -2.1596 -1.2469 7.0953
Te -2.1596 1.2469 14.1906
Te 0.0000 2.4937 7.0953
As 0.0000 0.0000 10.6429
```

Uncorrected formation energy: -1281 meV/atom
Space-group type: R-3m (166)

[5]
Entry from Alexandria: a relaxed structure of ThMgTl2Te4 (PBE-GGA).

extended XYZ file:
```
8
Lattice="7.6496 0.0000 0.0000 0.0000 4.4834 0.0000 -2.6666 0.0000 8.2129" Properties=species:S:1:pos:R:3 pbc="T T T"
Th 0.0000 0.0000 0.0000
Mg 3.8248 2.2417 0.0000
Tl -1.3333 2.2417 4.1064
Tl 2.4915 0.0000 4.1064
Te 1.2698 2.2417 1.7994
Te -0.0259 0.0000 6.5432
Te 5.0089 0.0000 1.6697
Te 3.7132 2.2417 6.4134
```

Uncorrected formation energy: -787 meV/atom
Space-group type: P2/m (10)

[6]
Entry from Alexandria: a relaxed structure of Fe4Ir6Os (PBE-GGA).

extended XYZ file:
```
11
Lattice="-2.6056 2.6056 6.0939 2.6056 -2.6056 6.0939 2.6056 2.6056 -6.0939" Properties=species:S:1:pos:R:3 pbc="T T T"
Fe 1.4999 1.4999 -1.9952
Fe 1.1057 -1.1057 8.0891
Fe 1.1057 1.1057 4.0986
Fe -1.1057 1.1057 8.0891
Ir 2.6056 0.0000 0.0000
Ir 1.6261 -1.6261 4.3566
Ir 0.9795 0.9795 1.7373
Ir 0.0000 2.6056 0.0000
Ir -1.6261 1.6261 4.3566
Ir 1.6261 1.6261 7.8312
Os 0.0000 0.0000 6.0939
```

Formation energy from the elements: 0.408 eV per atom
Space-group type: I-42m (121)

[7]
Entry from Alexandria: a relaxed structure of PaAl3Pd (PBE-GGA).

extended XYZ file:
```
20
Lattice="8.2700 0.0000 0.0000 0.0000 4.1841 0.0000 0.0000 0.0000 10.8604" Properties=species:S:1:pos:R:3 pbc="T T T"
Pa 1.4390 1.0460 0.0983
Pa 2.6960 3.1381 5.5285
Pa 5.5740 1.0460 5.3319
Pa 6.8310 3.1381 10.7621
Al 0.5641 1.0460 6.3862
Al 0.9254 3.1381 8.6719
Al 1.1038 3.1381 2.3096
Al 3.0312 1.0460 7.7398
Al 3.2096 1.0460 3.2418
Al 3.5709 3.1381 0.9560
Al 4.6991 1.0460 9.9043
Al 5.0604 3.1381 7.6186
Al 5.2388 3.1381 3.1206
Al 7.1662 1.0460 8.5508
Al 7.3446 1.0460 2.1884
Al 7.7059 3.1381 4.4741
Pd 0.8354 1.0460 3.8637
Pd 3.2996 3.1381 9.2939
Pd 4.9704 1.0460 1.5665
Pd 7.4346 3.1381 6.9967
```

Distance to the lowest polymorph of the same formula: 0.000 eV/atom
Formation energy from the elements: -0.489 eV per atom
Space-group type: Pnma (62)

[8]
Entry from Alexandria: a relaxed structure of PmGa3Cu8 (PBE-GGA).

extended XYZ file:
```
12
Lattice="4.9506 0.0000 0.0000 -2.4753 4.2874 0.0000 0.0000 0.0000 8.3576" Properties=species:S:1:pos:R:3 pbc="T T T"
Pm 0.0000 0.0000 0.0000
Ga 0.0000 0.0000 3.1777
Ga 2.4753 1.4291 4.0689
Ga 2.4753 1.4291 6.9643
Cu 0.0000 1.4115 5.6308
Cu -1.2529 3.5816 5.6308
Cu 0.0000 2.8582 3.6292
Cu 0.0000 2.8582 7.7266
Cu 2.4753 0.0170 1.6474
Cu 1.2523 2.1352 1.6474
Cu 1.2529 3.5816 5.6308
Cu 3.6983 2.1352 1.6474
```

Formation energy from the elements: -0.100 eV per atom
Space-group type: P3m1 (156)

[9]
Entry from Alexandria: a relaxed structure of Tb2Pr2Er7 (PBE-GGA).

extended XYZ file:
```
11
Lattice="5.6069 -5.7682 0.0000 5.6069 5.7682 0.0000 -2.4638 0.0000 5.5467" Properties=species:S:1:pos:R:3 pbc="T T T"
Tb 5.6069 3.3321 0.0000
Tb 5.6069 -3.3321 0.0000
Pr 2.8236 0.0000 3.8336
Pr 5.9264 0.0000 1.7131
Er -1.2319 0.0000 2.7733
Er 2.8697 3.0222 1.7813
Er 2.3847 0.0000 0.4236
Er 5.8804 3.0222 3.7653
Er 2.8697 -3.0222 1.7813
Er 6.3653 0.0000 5.1231
Er 5.8804 -3.0222 3.7653
```

Formation energy from the elements: 0.152 eV per atom
Space-group type: C2/m (12)

[10]
Entry from Alexandria: a relaxed structure of Li2HoScTl4 (PBE-GGA).

extended XYZ file:
```
8
Lattice="2.5485 1.4714 8.3207 -2.5485 1.4714 8.3207 0.0000 -2.9427 8.3207" Properties=species:S:1:pos:R:3 pbc="T T T"
Li 0.0000 0.0000 6.2500
Li 0.0000 0.0000 18.7120
Ho 0.0000 0.0000 12.4810
Sc 0.0000 0.0000 0.0000
Tl 0.0000 0.0000 3.0442
Tl 0.0000 0.0000 9.2982
Tl 0.0000 0.0000 15.6638
Tl 0.0000 0.0000 21.9178
```

Formation energy from the elements: -0.279 eV per atom
Space-group type: R-3m (166)

[11]
Entry from Alexandria: a relaxed structure of La6P3Se2I (PBE-GGA).

extended XYZ file:
```
12
Lattice="9.5340 -2.1441 0.0000 9.5340 2.1441 0.0000 -2.2832 0.0000 8.5022" Properties=species:S:1:pos:R:3 pbc="T T T"
La -0.4229 0.0000 1.8709
La 5.1694 0.0000 3.6032
La 4.3556 0.0000 7.7076
La 12.4292 0.0000 0.7946
La 11.6154 0.0000 4.8990
La 17.2077 0.0000 6.6314
P 2.3792 0.0000 2.8257
P 9.5340 0.0000 0.0000
P 14.4056 0.0000 5.6765
Se 1.2728 0.0000 7.0700
Se 15.5120 0.0000 1.4322
I 8.3924 0.0000 4.2511
```

Uncorrected formation energy: -1712 meV/atom
Space-group type: C2/m (12)

[12]
Entry from Alexandria: a relaxed structure of NaMgRh3 (PBE-GGA).

extended XYZ file:
```
5
Lattice="4.5359 0.0000 0.0000 0.0000 4.5359 0.0000 0.0000 0.0000 4.5359" Properties=species:S:1:pos:R:3 pbc="T T T"
Na 0.0000 0.0000 0.0000
Mg 2.2679 2.2679 2.2679
Rh 0.0000 0.0000 2.2679
Rh 0.0000 2.2679 0.0000
Rh 2.2679 0.0000 0.0000
```

Distance to the lowest polymorph of the same formula: 0.336 eV/atom
Formation energy from the elements: 1.296 eV per atom
Space-group type: Pm-3m (221)

[13]
Entry from Alexandria: a relaxed structure of ScTa2Re (PBE-GGA).

extended XYZ file:
```
4
Lattice="2.7344 0.0000 0.0000 0.0000 4.7348 0.0000 0.0000 0.0000 5.5419" Properties=species:S:1:pos:R:3 pbc="T T T"
Sc 0.0000 0.0000 0.0000
Ta 0.0000 0.0000 2.8165
Ta 1.3672 2.3674 1.3807
Re 1.3672 2.3674 4.1529
```

Distance to the lowest polymorph of the same formula: 0.277 eV/atom
Formation energy from the elements: 0.181 eV per atom
Space-group type: Pmm2 (25)

[14]
Entry from Alexandria: a relaxed structure of Ge2BiPd (PBE-GGA).

extended XYZ file:
```
8
Lattice="-2.8851 2.8851 6.5977 2.8851 -2.8851 6.5977 2.8851 2.8851 -6.5977" Properties=species:S:1:pos:R:3 pbc="T T T"
Ge 4.3277 1.0521 -1.6494
Ge 1.0521 1.4426 1.6494
Ge -1.4426 1.8331 4.9483
Ge 1.8331 1.4426 8.2471
Bi 2.8851 0.0000 3.2989
Bi 0.0000 0.0000 6.5977
Pd 0.0000 0.0000 0.0000
Pd 0.0000 2.8851 3.2989
```

Formation energy from the elements: 0.074 eV per atom
Space-group type: I-42d (122)

[15]
Entry from Alexandria: a relaxed structure of GdBiAs2 (PBE-GGA).

extended XYZ file:
```
4
Lattice="2.1094 1.2178 6.9332 -2.1094 1.2178 6.9332 0.0000 -2.4357 6.9332" Properties=species:S:1:pos:R:3 pbc="T T T"
Gd 0.0000 0.0000 0.0000
Bi 0.0000 0.0000 10.3999
As 0.0000 0.0000 5.2569
As 0.0000 0.0000 15.5428
```

Formation energy from the elements: -0.682 eV per atom
Space-group type: R-3m (166)

[16]
Entry from Alexandria: a relaxed structure of Na2HgBiH (PBE-GGA).

extended XYZ file:
```
5
Lattice="5.0196 0.0000 0.0000 0.0000 5.0196 0.0000 0.0000 0.0000 4.5189" Properties=species:S:1:pos:R:3 pbc="T T T"
Na 0.0000 2.5098 0.0000
Na 2.5098 0.0000 0.0000
Hg 0.0000 0.0000 2.2594
Bi 2.5098 2.5098 2.2594
H 2.5098 2.5098 0.0000
```

Distance to the lowest polymorph of the same formula: 0.066 eV/atom
Space-group type: P4/mmm (123)

[17]
Entry from Alexandria: a relaxed structure of InCuHg2 (PBE-GGA).

extended XYZ file:
```
4
Lattice="-2.2325 2.2325 4.3059 2.2325 -2.2325 4.3059 2.2325 2.2325 -4.3059" Properties=species:S:1:pos:R:3 pbc="T T T"
In 0.0000 0.0000 0.0000
Cu 0.0000 0.0000 4.3059
Hg 2.2325 0.0000 2.1530
Hg 0.0000 2.2325 2.1530
```

Formation energy from the elements: 0.208 eV per atom
Space-group type: I4/mmm (139)

[18]
Entry from Alexandria: a relaxed structure of TmPaIn2 (PBE-GGA).

extended XYZ file:
```
4
Lattice="4.7541 0.0000 0.0000 0.0000 4.7541 0.0000 0.0000 0.0000 4.5492" Properties=species:S:1:pos:R:3 pbc="T T T"
Tm 0.0000 0.0000 0.0000
Pa 2.3770 2.3770 0.0000
In 0.0000 2.3770 2.2746
In 2.3770 0.0000 2.2746
```

Distance to the lowest polymorph of the same formula: 0.076 eV/atom
Formation energy from the elements: -0.121 eV per atom
Space-group type: P4/mmm (123)

[19]
Entry from Alexandria: a relaxed structure of K4Mg3Cl10 (PBE-GGA).

extended XYZ file:
```
17
Lattice="-2.5094 2.5094 17.8491 2.5094 -2.5094 17.8491 2.5094 2.5094 -17.8491" Properties=species:S:1:pos:R:3 pbc="T T T"
K 0.0000 0.0000 2.4653
K 0.0000 0.0000 7.1811
K 0.0000 0.0000 28.5172
K 0.0000 0.0000 33.2329
Mg 0.0000 0.0000 12.7734
Mg 0.0000 0.0000 17.8491
Mg 0.0000 0.0000 22.9248
Cl 2.5094 0.0000 0.0000
Cl 2.5094 0.0000 4.9679
Cl 0.0000 0.0000 10.3135
Cl 2.5094 0.0000 12.8812
Cl 0.0000 0.0000 15.3441
Cl 0.0000 2.5094 0.0000
Cl 0.0000 0.0000 20.3541
Cl 0.0000 2.5094 4.9679
Cl 0.0000 0.0000 25.3847
Cl 0.0000 2.5094 12.8812
```

Uncorrected formation energy: -1902 meV/atom
Space-group type: I4/mmm (139)

[20]
Entry from Alexandria: a relaxed structure of Mg2ZrZnH (PBE-GGA).

extended XYZ file:
```
5
Lattice="4.3336 0.0000 0.0000 0.0000 4.3336 0.0000 0.0000 0.0000 4.2398" Properties=species:S:1:pos:R:3 pbc="T T T"
Mg 0.0000 2.1668 0.0000
Mg 2.1668 0.0000 0.0000
Zr 0.0000 0.0000 2.1199
Zn 2.1668 2.1668 2.1199
H 0.0000 0.0000 0.0000
```

E: -3.4081 eV/atom
Space-group type: P4/mmm (123)

no.,M_tot (μB per formula unit)
1,0.000
2,3.117
3,0.000
4,0.000
5,0.000
6,8.968
7,0.458
8,0.000
9,0.000
10,0.000
11,0.000
12,0.000
13,0.000
14,0.000
15,7.001
16,0.000
17,0.000
18,0.000
19,0.000
20,0.000